(1)
Computed, not measured: a relaxed KRe crystal at the PBE level of DFT.

a = 8.5399 Å, b = 7.8785 Å, c = 5.5329 Å
α = 76.90°, β = 63.97°, γ = 39.13°
Closest atoms and distances in Å follow each position.
Fractional positions:
K 0.0300 0.7200 0.0300  1 K 2.82, 2 Re 3.07
K 0.2800 0.9700 0.2800  1 K 2.82, 2 Re 3.07
K 0.7200 0.0300 0.7200  1 K 2.82, 2 Re 3.07
K 0.9700 0.2800 0.9700  1 K 2.82, 2 Re 3.07
Re 0.2972 0.2972 0.4528  1 Re 2.25
Re 0.4528 0.4528 0.2972  1 Re 2.25
Re 0.5472 0.5472 0.7028  1 Re 2.25
Re 0.7028 0.7028 0.5472  1 Re 2.25

* total energy: -41.242 eV for the cell shown


(2)
Computed, not measured: a relaxed NaPt2Pb3 crystal at the PBE level of DFT.

a = 4.5525 Å, b = 8.5117 Å, c = 7.5135 Å
α = 90.00°, β = 90.00°, γ = 90.00°
Closest atoms and distances in Å follow each position.
Fractional positions:
Na 0.0000 0.0774 0.0000  5 Pt 3.11-3.32, 5 Pb 3.39-3.46
Na 0.0000 0.9226 0.5000  5 Pt 3.11-3.32, 5 Pb 3.39-3.46
Pt 0.0000 0.3662 0.2542  4 Pb 2.85-2.87, 1 Na 3.11
Pt 0.0000 0.6338 0.7542  4 Pb 2.85-2.87, 1 Na 3.11
Pt 0.5000 0.1426 0.7037  5 Pb 2.78-3.02
Pt 0.5000 0.8574 0.2037  5 Pb 2.78-3.02
Pb 0.0000 0.3181 0.6295  4 Pt 2.78-2.85
Pb 0.0000 0.6819 0.1295  4 Pt 2.78-2.85
Pb 0.5000 0.1691 0.3174  4 Pt 2.79-2.91
Pb 0.5000 0.4170 0.9595  5 Pt 3.02-3.31
Pb 0.5000 0.5830 0.4595  5 Pt 3.02-3.31
Pb 0.5000 0.8309 0.8174  4 Pt 2.79-2.91

* total energy: -51.622 eV for the cell shown


(3)
Computed, not measured: a relaxed Tl2SbCl crystal at the PBE level of DFT.

a = 9.0379 Å, b = 9.0379 Å, c = 9.0379 Å
α = 136.62°, β = 136.62°, γ = 63.03°
Closest atoms and distances in Å follow each position.
Fractional positions:
Tl 0.1238 0.6250 0.9988  2 Cl 3.04, 2 Sb 3.05
Tl 0.3750 0.3738 0.4988  2 Cl 3.04, 2 Sb 3.05
Tl 0.6262 0.1250 0.0012  2 Cl 3.04, 2 Sb 3.05
Tl 0.8750 0.8762 0.5012  2 Cl 3.04, 2 Sb 3.05
Sb 0.2500 0.7500 0.5000  4 Tl 3.05
Sb 0.5000 0.5000 0.0000  4 Tl 3.05
Cl 0.0000 0.0000 0.0000  4 Tl 3.04
Cl 0.7500 0.2500 0.5000  4 Tl 3.04

* formation energy from raw total energies: -156 meV/atom


(4)
Computed, not measured: a relaxed CsK2Ac crystal at the PBE level of DFT.

a = 17.0298 Å, b = 17.0298 Å, c = 17.0298 Å
α = 14.24°, β = 14.24°, γ = 14.24°
Closest atoms and distances in Å follow each position.
Fractional positions:
Cs 0.0000 0.0000 0.0000  6 Cs 4.22
K 0.4208 0.4208 0.4208  1 Ac 4.00, 6 K 4.22
K 0.5792 0.5792 0.5792  1 Ac 4.00, 6 K 4.22
Ac 0.5000 0.5000 0.5000  2 K 4.00, 6 Ac 4.22

* total energy: -5.880 eV for the cell shown


(5)
Computed, not measured: a relaxed Te2IrBr crystal at the PBE level of DFT.

a = 5.4592 Å, b = 5.4592 Å, c = 4.0300 Å
α = 90.00°, β = 90.00°, γ = 119.43°
Closest atoms and distances in Å follow each position.
Fractional positions:
Te 0.1799 0.8201 0.0000  2 Ir 2.63
Te 0.8201 0.1799 0.0000  2 Ir 2.63
Ir 0.0000 0.0000 0.5000  4 Te 2.63, 2 Br 2.75
Br 0.5000 0.5000 0.5000  2 Ir 2.75

* formation energy from raw total energies: -111 meV/atom


(6)
Computed, not measured: a relaxed Sr2TeO crystal at the PBE level of DFT.

a = 6.7760 Å, b = 6.7760 Å, c = 6.7760 Å
α = 114.09°, β = 114.09°, γ = 100.58°
Closest atoms and distances in Å follow each position.
Fractional positions:
Sr 0.0281 0.1250 0.4031  2 O 2.42
Sr 0.3750 0.9719 0.0969  2 O 2.42
Sr 0.7219 0.6250 0.5969  2 O 2.42
Sr 0.8750 0.2781 0.9031  2 O 2.42
Te 0.2500 0.7500 0.5000  4 Sr 3.33
Te 0.5000 0.5000 0.0000  4 Sr 3.33
O 0.0000 0.0000 0.0000  4 Sr 2.42
O 0.7500 0.2500 0.5000  4 Sr 2.42

* formation energy from raw total energies: -2110 meV/atom


(7)
Computed, not measured: a relaxed LiMg6In10 crystal at the PBE level of DFT.

a = 8.9860 Å, b = 8.9860 Å, c = 6.0285 Å
α = 90.00°, β = 90.00°, γ = 120.00°
Closest atoms and distances in Å follow each position.
Fractional positions:
Li 0.0000 0.0000 0.0000  6 In 3.09
Mg 0.0000 0.3709 0.8133  9 In 3.06-3.41, 1 Mg 3.23
Mg 0.0000 0.6291 0.1867  9 In 3.06-3.41, 1 Mg 3.23
Mg 0.3709 0.0000 0.8133  9 In 3.06-3.41, 1 Mg 3.23
Mg 0.3709 0.3709 0.1867  9 In 3.06-3.41, 1 Mg 3.23
Mg 0.6291 0.0000 0.1867  9 In 3.06-3.41, 1 Mg 3.23
Mg 0.6291 0.6291 0.8133  9 In 3.06-3.41, 1 Mg 3.23
In 0.0000 0.2711 0.3156  5 Mg 3.09-3.31, 1 Li 3.09, 2 In 3.30
In 0.0000 0.7289 0.6844  5 Mg 3.09-3.31, 1 Li 3.09, 2 In 3.30
In 0.2711 0.0000 0.3156  5 Mg 3.09-3.31, 1 Li 3.09, 2 In 3.30
In 0.2711 0.2711 0.6844  5 Mg 3.09-3.31, 1 Li 3.09, 2 In 3.30
In 0.3333 0.6667 0.0000  2 In 3.01, 6 Mg 3.06
In 0.3333 0.6667 0.5000  2 In 3.01
In 0.6667 0.3333 0.0000  2 In 3.01, 6 Mg 3.06
In 0.6667 0.3333 0.5000  2 In 3.01
In 0.7289 0.0000 0.6844  5 Mg 3.09-3.31, 1 Li 3.09, 2 In 3.30
In 0.7289 0.7289 0.3156  5 Mg 3.09-3.31, 1 Li 3.09, 2 In 3.30

* total energy: -39.419 eV for the cell shown


(8)
Computed, not measured: a relaxed Nd3Ni2Ag crystal at the PBE level of DFT.

a = 4.1523 Å, b = 9.4625 Å, c = 7.3790 Å
α = 90.00°, β = 90.00°, γ = 90.00°
Closest atoms and distances in Å follow each position.
Fractional positions:
Nd 0.0000 0.0588 0.0000  6 Ni 2.86-3.01
Nd 0.0000 0.9412 0.5000  6 Ni 2.86-3.01
Nd 0.5000 0.2565 0.3778  3 Ni 2.90-3.09
Nd 0.5000 0.3544 0.8558  3 Ni 2.87-2.90, 4 Ag 3.10-3.11
Nd 0.5000 0.6456 0.3558  3 Ni 2.87-2.90, 4 Ag 3.10-3.11
Nd 0.5000 0.7435 0.8778  3 Ni 2.90-3.09
Ni 0.0000 0.2207 0.6483  2 Ni 2.59, 1 Ag 2.80, 3 Nd 2.86-2.87
Ni 0.0000 0.7793 0.1483  2 Ni 2.59, 1 Ag 2.80, 3 Nd 2.86-2.87
Ni 0.5000 0.0670 0.7189  2 Ni 2.59, 2 Nd 2.89
Ni 0.5000 0.9330 0.2189  2 Ni 2.59, 2 Nd 2.89
Ag 0.0000 0.4841 0.1197  1 Ni 2.80, 4 Nd 3.10-3.11
Ag 0.0000 0.5159 0.6197  1 Ni 2.80, 4 Nd 3.10-3.11

* total energy: -60.409 eV for the cell shown


(9)
Computed, not measured: a relaxed Sm3HoTm crystal at the PBE level of DFT.

a = 8.6303 Å, b = 8.6303 Å, c = 7.1070 Å
α = 90.00°, β = 90.00°, γ = 140.90°
Closest atoms and distances in Å follow each position.
Fractional positions:
Sm 0.1148 0.8852 0.7500  2 Tm 3.44, 3 Ho 3.55-3.76, 6 Sm 3.60-3.64
Sm 0.3104 0.6896 0.9997  7 Sm 3.49-3.64, 2 Tm 3.56, 3 Ho 3.59-3.62
Sm 0.3104 0.6896 0.5003  7 Sm 3.49-3.64, 2 Tm 3.56, 3 Ho 3.59-3.62
Sm 0.6896 0.3104 0.0003  7 Sm 3.49-3.64, 2 Tm 3.56, 3 Ho 3.59-3.62
Sm 0.6896 0.3104 0.4997  7 Sm 3.49-3.64, 2 Tm 3.56, 3 Ho 3.59-3.62
Sm 0.8852 0.1148 0.2500  2 Tm 3.44, 3 Ho 3.55-3.76, 6 Sm 3.60-3.64
Ho 0.1163 0.8837 0.2500  2 Tm 3.45, 9 Sm 3.55-3.76
Ho 0.8837 0.1163 0.7500  2 Tm 3.45, 9 Sm 3.55-3.76
Tm 0.4998 0.5002 0.2500  6 Sm 3.44-3.56, 2 Ho 3.45, 2 Tm 3.55
Tm 0.5002 0.4998 0.7500  6 Sm 3.44-3.56, 2 Ho 3.45, 2 Tm 3.55

* total energy: -45.107 eV for the cell shown


(10)
Computed, not measured: a relaxed Nb11Ru4Pt9 crystal at the PBE level of DFT.

a = 12.2007 Å, b = 12.2007 Å, c = 2.9169 Å
α = 90.00°, β = 90.00°, γ = 113.82°
Closest atoms and distances in Å follow each position.
Fractional positions:
Nb 0.0000 0.0000 0.0000  8 Pt 2.77, 2 Nb 2.92
Nb 0.0460 0.3984 0.0000  2 Ru 2.72, 6 Pt 2.81-2.95, 3 Nb 2.92-2.97
Nb 0.1647 0.8353 0.0000  8 Pt 2.90-3.02, 4 Nb 2.92-2.97
Nb 0.2925 0.2925 0.0000  4 Ru 2.60
Nb 0.3675 0.6325 0.0000  4 Ru 2.60, 4 Pt 2.91
Nb 0.3984 0.0460 0.0000  2 Ru 2.72, 6 Pt 2.81-2.95, 3 Nb 2.92-2.97
Nb 0.6016 0.9540 0.0000  2 Ru 2.72, 6 Pt 2.81-2.95, 3 Nb 2.92-2.97
Nb 0.6325 0.3675 0.0000  4 Ru 2.60, 4 Pt 2.91
Nb 0.7075 0.7075 0.0000  4 Ru 2.60
Nb 0.8353 0.1647 0.0000  8 Pt 2.90-3.02, 4 Nb 2.92-2.97
Nb 0.9540 0.6016 0.0000  2 Ru 2.72, 6 Pt 2.81-2.95, 3 Nb 2.92-2.97
Ru 0.2480 0.4463 0.5000  6 Nb 2.60-2.72, 3 Pt 2.83-2.87
Ru 0.4463 0.2480 0.5000  6 Nb 2.60-2.72, 3 Pt 2.83-2.87
Ru 0.5537 0.7520 0.5000  6 Nb 2.60-2.72, 3 Pt 2.83-2.87
Ru 0.7520 0.5537 0.5000  6 Nb 2.60-2.72, 3 Pt 2.83-2.87
Pt 0.0664 0.2103 0.5000  8 Nb 2.77-3.02, 1 Ru 2.84, 3 Pt 2.92-2.94
Pt 0.1595 0.6275 0.5000  8 Nb 2.81-2.95, 1 Ru 2.83, 3 Pt 2.84-2.92
Pt 0.2103 0.0664 0.5000  8 Nb 2.77-3.02, 1 Ru 2.84, 3 Pt 2.92-2.94
Pt 0.3725 0.8405 0.5000  8 Nb 2.81-2.95, 1 Ru 2.83, 3 Pt 2.84-2.92
Pt 0.5000 0.5000 0.5000  4 Ru 2.87, 2 Pt 2.92, 8 Nb 3.08-3.13
Pt 0.6275 0.1595 0.5000  8 Nb 2.81-2.95, 1 Ru 2.83, 3 Pt 2.84-2.92
Pt 0.7897 0.9336 0.5000  8 Nb 2.77-3.02, 1 Ru 2.84, 3 Pt 2.92-2.94
Pt 0.8405 0.3725 0.5000  8 Nb 2.81-2.95, 1 Ru 2.83, 3 Pt 2.84-2.92
Pt 0.9336 0.7897 0.5000  8 Nb 2.77-3.02, 1 Ru 2.84, 3 Pt 2.92-2.94

* total energy: -213.312 eV for the cell shown


(11)
Computed, not measured: a relaxed CaTl2Cu2Cl6 crystal at the PBE level of DFT.

a = 7.4465 Å, b = 7.4465 Å, c = 7.7256 Å
α = 118.06°, β = 118.06°, γ = 59.08°
Closest atoms and distances in Å follow each position.
Fractional positions:
Ca 0.0000 0.0000 0.0000  6 Cl 2.74-2.75
Tl 0.2308 0.2308 0.7020  5 Cl 3.24-3.32
Tl 0.7692 0.7692 0.2980  5 Cl 3.24-3.32
Cu 0.4449 0.4449 0.2732  3 Cl 2.22-2.26
Cu 0.5551 0.5551 0.7268  3 Cl 2.22-2.26
Cl 0.1949 0.6922 0.6974  1 Cu 2.26
Cl 0.2449 0.2449 0.1429  1 Cu 2.22
Cl 0.3078 0.8051 0.3026  1 Cu 2.26
Cl 0.6922 0.1949 0.6974  1 Cu 2.26
Cl 0.7551 0.7551 0.8571  1 Cu 2.22
Cl 0.8051 0.3078 0.3026  1 Cu 2.26

* formation energy from raw total energies: -1160 meV/atom


(12)
Computed, not measured: a relaxed Ba6Na23Sr crystal at the PBE level of DFT.

a = 12.2694 Å, b = 12.2694 Å, c = 12.2694 Å
α = 60.00°, β = 60.00°, γ = 60.00°
Closest atoms and distances in Å follow each position.
Fractional positions:
Ba 0.2245 0.2245 0.7755  1 Sr 3.90, 12 Na 4.00-4.36
Ba 0.2245 0.7755 0.2245  1 Sr 3.90, 12 Na 4.00-4.36
Ba 0.2245 0.7755 0.7755  1 Sr 3.90, 12 Na 4.00-4.36
Ba 0.7755 0.2245 0.2245  1 Sr 3.90, 12 Na 4.00-4.36
Ba 0.7755 0.2245 0.7755  1 Sr 3.90, 12 Na 4.00-4.36
Ba 0.7755 0.7755 0.2245  1 Sr 3.90, 12 Na 4.00-4.36
Na 0.0000 0.0000 0.5000  8 Na 3.54-3.80
Na 0.0000 0.5000 0.0000  8 Na 3.54-3.80
Na 0.0000 0.5000 0.5000  8 Na 3.54-3.80
Na 0.1363 0.6212 0.6212  7 Na 3.64-3.88, 3 Ba 4.00
Na 0.1628 0.1628 0.1628  6 Na 3.54-3.88
Na 0.1628 0.1628 0.5116  6 Na 3.54-3.88
Na 0.1628 0.5116 0.1628  6 Na 3.54-3.88
Na 0.3788 0.3788 0.3788  7 Na 3.64-3.88, 3 Ba 4.00
Na 0.3788 0.3788 0.8637  7 Na 3.64-3.88, 3 Ba 4.00
Na 0.3788 0.8637 0.3788  7 Na 3.64-3.88, 3 Ba 4.00
Na 0.4884 0.8372 0.8372  6 Na 3.54-3.88
Na 0.5000 0.0000 0.0000  8 Na 3.54-3.80
Na 0.5000 0.0000 0.5000  8 Na 3.54-3.80
Na 0.5000 0.5000 0.0000  8 Na 3.54-3.80
Na 0.5000 0.5000 0.5000  8 Na 3.64
Na 0.5116 0.1628 0.1628  6 Na 3.54-3.88
Na 0.6212 0.1363 0.6212  7 Na 3.64-3.88, 3 Ba 4.00
Na 0.6212 0.6212 0.1363  7 Na 3.64-3.88, 3 Ba 4.00
Na 0.6212 0.6212 0.6212  7 Na 3.64-3.88, 3 Ba 4.00
Na 0.8372 0.4884 0.8372  6 Na 3.54-3.88
Na 0.8372 0.8372 0.4884  6 Na 3.54-3.88
Na 0.8372 0.8372 0.8372  6 Na 3.54-3.88
Na 0.8637 0.3788 0.3788  7 Na 3.64-3.88, 3 Ba 4.00
Sr 0.0000 0.0000 0.0000  6 Ba 3.90

* total energy: -42.775 eV for the cell shown